Entry 1:
Computed, not measured: CuTe2 after structural relaxation at the GGA-PBE level of DFT.

The structure in CIF format:
```
data_CuTe2
_cell_length_a 6.5025
_cell_length_b 6.5025
_cell_length_c 7.4931
_cell_angle_alpha 110.80
_cell_angle_beta 110.80
_cell_angle_gamma 35.50
_symmetry_space_group_name_H-M 'P 1'
_symmetry_Int_Tables_number 1
_symmetry_space_group_name_Hall 'P 1'
loop_
_atom_site_label
_atom_site_fract_x
_atom_site_fract_y
_atom_site_fract_z
Cu1 0.0000 0.0000 0.0000
Cu2 0.5064 0.5064 0.2397
Te1 0.1560 0.1560 0.3504
Te2 0.4797 0.4797 0.7721
Te3 0.7155 0.7155 0.8215
Te4 0.8596 0.8596 0.2163
```

Computed properties:
DFT total energy ... -20.48 eV for the cell shown
Space-group type ... Cm, No. 8
ΔE_f (raw) ... 47 meV/atom
Calculated volume ... 28.45 Å³ per atom
Magnetization ... 0.00 μB/f.u.

---

Entry 2:
Computed, not measured: CdH6Pd5 after structural relaxation at the GGA-PBE level of DFT.

The structure in CIF format:
```
data_CdH6Pd5
_cell_length_a 5.1399
_cell_length_b 5.1399
_cell_length_c 5.2748
_cell_angle_alpha 102.56
_cell_angle_beta 102.56
_cell_angle_gamma 116.38
_symmetry_space_group_name_H-M 'P 1'
_symmetry_Int_Tables_number 1
_symmetry_space_group_name_Hall 'P 1'
loop_
_atom_site_label
_atom_site_fract_x
_atom_site_fract_y
_atom_site_fract_z
Cd1 0.0000 0.0000 0.0000
H1 0.1462 0.5296 0.2438
H2 0.2568 0.2568 0.6654
H3 0.4704 0.8538 0.7562
H4 0.5296 0.1462 0.2438
H5 0.7432 0.7432 0.3346
H6 0.8538 0.4704 0.7562
Pd1 0.1616 0.8384 0.5000
Pd2 0.3294 0.6706 0.0000
Pd3 0.5000 0.5000 0.5000
Pd4 0.6706 0.3294 0.0000
Pd5 0.8384 0.1616 0.5000
```

Computed properties:
DFT total energy ... -48.16 eV for the cell shown
Space-group type ... C2/m, No. 12
Calculated volume ... 9.48 Å³ per atom
Magnetization ... 0.00 μB/f.u.

---

Entry 3:
Computed, not measured: AgCCl2 after structural relaxation at the GGA-PBE level of DFT.

The structure in CIF format:
```
data_AgCCl2
_cell_length_a 4.6563
_cell_length_b 4.6563
_cell_length_c 4.6563
_cell_angle_alpha 60.00
_cell_angle_beta 60.00
_cell_angle_gamma 60.00
_symmetry_space_group_name_H-M 'P 1'
_symmetry_Int_Tables_number 1
_symmetry_space_group_name_Hall 'P 1'
loop_
_atom_site_label
_atom_site_fract_x
_atom_site_fract_y
_atom_site_fract_z
Ag1 0.0000 0.0000 0.0000
C1 0.5000 0.5000 0.5000
Cl1 0.2500 0.2500 0.2500
Cl2 0.7500 0.7500 0.7500
```

Computed properties:
DFT total energy ... -9.70 eV for the cell shown
Space-group type ... Fm-3m, No. 225
ΔE_f (raw) ... 1518 meV/atom
Distance to the lowest polymorph of the same formula ... 0.318 eV per atom
Calculated volume ... 17.85 Å³ per atom
Magnetization ... 1.00 μB/f.u.

---

Entry 4:
Computed, not measured: CdSn2Se after structural relaxation at the GGA-PBE level of DFT.

The structure in CIF format:
```
data_CdSn2Se
_cell_length_a 5.2420
_cell_length_b 5.2420
_cell_length_c 5.2420
_cell_angle_alpha 60.00
_cell_angle_beta 60.00
_cell_angle_gamma 60.00
_symmetry_space_group_name_H-M 'P 1'
_symmetry_Int_Tables_number 1
_symmetry_space_group_name_Hall 'P 1'
loop_
_atom_site_label
_atom_site_fract_x
_atom_site_fract_y
_atom_site_fract_z
Cd1 0.0000 0.0000 0.0000
Sn1 0.2500 0.2500 0.2500
Sn2 0.7500 0.7500 0.7500
Se1 0.5000 0.5000 0.5000
```

Computed properties:
DFT total energy ... -12.13 eV for the cell shown
Space-group type ... Fm-3m, No. 225
ΔE_f (raw) ... 70 meV/atom
Distance to the lowest polymorph of the same formula ... 0.054 eV per atom
Calculated volume ... 25.46 Å³ per atom
Magnetization ... 0.00 μB/f.u.

---

Entry 5:
Computed, not measured: ZrTaSi after structural relaxation at the GGA-PBE level of DFT.

The structure in CIF format:
```
data_ZrTaSi
_cell_length_a 7.8552
_cell_length_b 7.8552
_cell_length_c 7.8552
_cell_angle_alpha 152.69
_cell_angle_beta 150.77
_cell_angle_gamma 40.43
_symmetry_space_group_name_H-M 'P 1'
_symmetry_Int_Tables_number 1
_symmetry_space_group_name_Hall 'P 1'
loop_
_atom_site_label
_atom_site_fract_x
_atom_site_fract_y
_atom_site_fract_z
Zr1 0.0000 0.0000 0.0000
Zr2 0.8172 0.3172 0.5000
Ta1 0.1771 0.6771 0.5000
Ta2 0.4997 0.4997 0.0000
Si1 0.3607 0.8607 0.5000
Si2 0.6352 0.1352 0.5000
```

Computed properties:
DFT total energy ... -54.64 eV for the cell shown
Space-group type ... Imm2, No. 44
ΔE_f (raw) ... -498 meV/atom
Calculated volume ... 18.06 Å³ per atom
Magnetization ... 0.00 μB/f.u.

---

Entry 6:
Computed, not measured: PmHgIr after structural relaxation at the GGA-PBE level of DFT.

The structure in CIF format:
```
data_PmHgIr
_cell_length_a 4.7575
_cell_length_b 4.7575
_cell_length_c 4.7575
_cell_angle_alpha 60.00
_cell_angle_beta 60.00
_cell_angle_gamma 60.00
_symmetry_space_group_name_H-M 'P 1'
_symmetry_Int_Tables_number 1
_symmetry_space_group_name_Hall 'P 1'
loop_
_atom_site_label
_atom_site_fract_x
_atom_site_fract_y
_atom_site_fract_z
Pm1 0.0000 0.0000 0.0000
Hg1 0.5000 0.5000 0.5000
Ir1 0.7500 0.7500 0.7500
```

Computed properties:
Energy of formation from the pure elements ... -0.342 eV per atom
DFT total energy ... -14.94 eV for the cell shown
Space-group type ... F-43m, No. 216
Distance to the lowest polymorph of the same formula ... 0.204 eV per atom
Calculated volume ... 25.38 Å³ per atom
Magnetization ... 0.00 μB/f.u.

---

Entry 7:
Computed, not measured: Ta2NiOs after structural relaxation at the GGA-PBE level of DFT.

The structure in CIF format:
```
data_Ta2NiOs
_cell_length_a 2.7623
_cell_length_b 2.7623
_cell_length_c 8.1294
_cell_angle_alpha 90.00
_cell_angle_beta 90.00
_cell_angle_gamma 90.00
_symmetry_space_group_name_H-M 'P 1'
_symmetry_Int_Tables_number 1
_symmetry_space_group_name_Hall 'P 1'
loop_
_atom_site_label
_atom_site_fract_x
_atom_site_fract_y
_atom_site_fract_z
Ta1 0.0000 0.0000 0.0000
Ta2 0.5000 0.5000 0.2890
Ni1 0.0000 0.0000 0.5318
Os1 0.5000 0.5000 0.7377
```

Computed properties:
Energy of formation from the pure elements ... 0.068 eV per atom
DFT total energy ... -40.45 eV for the cell shown
Space-group type ... P4mm, No. 99
Distance to the lowest polymorph of the same formula ... 0.318 eV per atom
Calculated volume ... 15.51 Å³ per atom
Magnetization ... 0.00 μB/f.u.

---

Entry 8:
Computed, not measured: Ac3Pr4DyTe8 after structural relaxation at the GGA-PBE level of DFT.

The structure in CIF format:
```
data_Ac3Pr4DyTe8
_cell_length_a 9.1691
_cell_length_b 9.1691
_cell_length_c 9.1562
_cell_angle_alpha 119.77
_cell_angle_beta 119.77
_cell_angle_gamma 60.27
_symmetry_space_group_name_H-M 'P 1'
_symmetry_Int_Tables_number 1
_symmetry_space_group_name_Hall 'P 1'
loop_
_atom_site_label
_atom_site_fract_x
_atom_site_fract_y
_atom_site_fract_z
Ac1 0.0000 0.0000 0.0000
Ac2 0.0000 0.5000 0.5000
Ac3 0.5000 0.0000 0.5000
Pr1 0.0000 0.0000 0.5000
Pr2 0.0000 0.5000 0.0000
Pr3 0.5000 0.0000 0.0000
Pr4 0.5000 0.5000 0.5000
Dy1 0.5000 0.5000 0.0000
Te1 0.2540 0.2540 0.2460
Te2 0.2558 0.2558 0.7636
Te3 0.2559 0.7364 0.2441
Te4 0.2636 0.7441 0.7559
Te5 0.7364 0.2559 0.2441
Te6 0.7441 0.2636 0.7559
Te7 0.7442 0.7442 0.2364
Te8 0.7460 0.7460 0.7540
```

Computed properties:
DFT total energy ... -83.94 eV for the cell shown
Space-group type ... C2/m, No. 12
ΔE_f (raw) ... -1422 meV/atom
Calculated volume ... 34.21 Å³ per atom
Magnetization ... 0.00 μB/f.u.

---

Entry 9:
Computed, not measured: NaPa2RuN4 after structural relaxation at the GGA-PBE level of DFT.

The structure in CIF format:
```
data_NaPa2RuN4
_cell_length_a 5.6282
_cell_length_b 5.6282
_cell_length_c 5.6282
_cell_angle_alpha 118.33
_cell_angle_beta 118.33
_cell_angle_gamma 92.92
_symmetry_space_group_name_H-M 'P 1'
_symmetry_Int_Tables_number 1
_symmetry_space_group_name_Hall 'P 1'
loop_
_atom_site_label
_atom_site_fract_x
_atom_site_fract_y
_atom_site_fract_z
Na1 0.0000 0.0000 0.0000
Pa1 0.2500 0.7500 0.5000
Pa2 0.7500 0.2500 0.5000
Ru1 0.5000 0.5000 0.0000
N1 0.1418 0.4758 0.0000
N2 0.4758 0.1418 0.0000
N3 0.5242 0.5242 0.6661
N4 0.8582 0.8582 0.3339
```

Computed properties:
DFT total energy ... -67.56 eV for the cell shown
Space-group type ... I-42m, No. 121
ΔE_f (raw) ... -584 meV/atom
Calculated volume ... 16.13 Å³ per atom
Magnetization ... 0.00 μB/f.u.

---

Entry 10:
Computed, not measured: GaBi3W after structural relaxation at the GGA-PBE level of DFT.

The structure in CIF format:
```
data_GaBi3W
_cell_length_a 5.3729
_cell_length_b 5.3729
_cell_length_c 5.3729
_cell_angle_alpha 90.00
_cell_angle_beta 90.00
_cell_angle_gamma 90.00
_symmetry_space_group_name_H-M 'P 1'
_symmetry_Int_Tables_number 1
_symmetry_space_group_name_Hall 'P 1'
loop_
_atom_site_label
_atom_site_fract_x
_atom_site_fract_y
_atom_site_fract_z
Ga1 0.0000 0.0000 0.0000
Bi1 0.0000 0.0000 0.5000
Bi2 0.0000 0.5000 0.0000
Bi3 0.5000 0.0000 0.0000
W1 0.5000 0.5000 0.5000
```

Computed properties:
Energy of formation from the pure elements ... 1.516 eV per atom
DFT total energy ... -20.04 eV for the cell shown
Space-group type ... Pm-3m, No. 221
Distance to the lowest polymorph of the same formula ... 0.740 eV per atom
Calculated volume ... 31.02 Å³ per atom
Magnetization ... 3.64 μB/f.u.

---

Entry 11:
Computed, not measured: Ho8Tl4SiSe3 after structural relaxation at the GGA-PBE level of DFT.

The structure in CIF format:
```
data_Ho8Tl4SiSe3
_cell_length_a 7.8994
_cell_length_b 7.8994
_cell_length_c 9.1118
_cell_angle_alpha 115.60
_cell_angle_beta 115.60
_cell_angle_gamma 60.12
_symmetry_space_group_name_H-M 'P 1'
_symmetry_Int_Tables_number 1
_symmetry_space_group_name_Hall 'P 1'
loop_
_atom_site_label
_atom_site_fract_x
_atom_site_fract_y
_atom_site_fract_z
Ho1 0.2331 0.7471 0.7140
Ho2 0.2336 0.2336 0.7139
Ho3 0.2529 0.7669 0.2860
Ho4 0.2596 0.2596 0.2786
Ho5 0.7404 0.7404 0.7214
Ho6 0.7471 0.2331 0.7140
Ho7 0.7664 0.7664 0.2861
Ho8 0.7669 0.2529 0.2860
Tl1 0.0000 0.0000 0.0000
Tl2 0.0000 0.5000 0.0000
Tl3 0.5000 0.0000 0.0000
Tl4 0.5000 0.5000 0.0000
Si1 0.0000 0.0000 0.5000
Se1 0.0000 0.5000 0.5000
Se2 0.5000 0.0000 0.5000
Se3 0.5000 0.5000 0.5000
```

Computed properties:
DFT total energy ... -76.61 eV for the cell shown
Space-group type ... C2/m, No. 12
ΔE_f (raw) ... -915 meV/atom
Calculated volume ... 26.70 Å³ per atom
Magnetization ... 0.00 μB/f.u.

---

Entry 12:
Computed, not measured: Hf3TiN after structural relaxation at the GGA-PBE level of DFT.

The structure in CIF format:
```
data_Hf3TiN
_cell_length_a 6.1430
_cell_length_b 6.1430
_cell_length_c 5.9954
_cell_angle_alpha 110.27
_cell_angle_beta 110.27
_cell_angle_gamma 106.12
_symmetry_space_group_name_H-M 'P 1'
_symmetry_Int_Tables_number 1
_symmetry_space_group_name_Hall 'P 1'
loop_
_atom_site_label
_atom_site_fract_x
_atom_site_fract_y
_atom_site_fract_z
Hf1 0.0220 0.4765 0.7514
Hf2 0.0662 0.0662 0.3028
Hf3 0.4765 0.0220 0.7514
Hf4 0.5235 0.9780 0.2486
Hf5 0.9338 0.9338 0.6972
Hf6 0.9780 0.5235 0.2486
Ti1 0.4407 0.4407 0.1855
Ti2 0.5593 0.5593 0.8145
N1 0.2547 0.2547 0.7555
N2 0.7453 0.7453 0.2445
```

Computed properties:
DFT total energy ... -99.32 eV for the cell shown
Space-group type ... C2/m, No. 12
ΔE_f (raw) ... -715 meV/atom
Distance to the lowest polymorph of the same formula ... 0.000 eV per atom
Calculated volume ... 17.76 Å³ per atom
Magnetization ... 0.00 μB/f.u.